Record 1
DFT (SCAN) results for a PBEsol-optimized structure of Tl.

```
2
Lattice="-3.031 3.031 1.620 3.031 -3.031 1.620 3.031 3.031 -1.620" Properties=species:S:1:pos:R:3 pbc="T T T"
Tl 3.031 1.516 0.405
Tl 0.000 1.516 1.215
```

Total energy ... -144.55 eV per cell
DFT formation energy ... 0.082 eV per atom

---

Record 2
DFT (SCAN) results for a PBEsol-optimized structure of LaReTc.

```
3
Lattice="-1.542 1.542 6.091 1.542 -1.542 6.091 1.542 1.542 -6.091" Properties=species:S:1:pos:R:3 pbc="T T T"
La 0.000 0.000 0.000
Re 0.000 0.000 8.492
Tc 0.000 0.000 3.678
```

Total energy ... -148.86 eV per cell
DFT formation energy ... 0.133 eV per atom

---

Record 3
DFT (SCAN) results for a PBEsol-optimized structure of BaAl2Rh.

```
4
Lattice="2.147 1.239 5.987 -2.147 1.239 5.987 0.000 -2.479 5.987" Properties=species:S:1:pos:R:3 pbc="T T T"
Ba 0.000 0.000 0.000
Al 0.000 0.000 3.484
Al 0.000 0.000 14.477
Rh 0.000 0.000 8.981
```

Total energy ... -91.41 eV per cell
DFT formation energy ... -0.647 eV per atom